(1)
Entry from Alexandria via LeMat-Bulk: Ce4HgSb3 after structural relaxation (PBE).

Computed properties:
**E_form (uncorrected)**: -0.456 eV per atom
**D(E_F)**: 2.692 states/eV/atom
**VASP energy**: -5.0067 eV/atom

Unit cell a=14.388 b=5.684 c=6.157 alpha=90.00 beta=106.18 gamma=90.00
Space group C2/m (No. 12)
Symmetry-distinct sites (fractional):
Ce 0.104 0.000 0.041
Ce 0.239 0.500 0.307
Hg 0.000 0.000 0.500
Sb 0.000 0.500 0.000
Sb 0.163 0.500 0.750

***

(2)
Entry from Alexandria via LeMat-Bulk: Ce4HgSb after structural relaxation (PBE).

Computed properties:
**E_form (uncorrected)**: -0.274 eV per atom
**D(E_F)**: 2.640 states/eV/atom
**VASP energy**: -4.9672 eV/atom
**Polymorph energy (0 for the lowest one)**: 27.2 meV per atom

Unit cell a=5.097 b=6.342 c=9.279 alpha=90.00 beta=90.00 gamma=90.00
Space group Immm (No. 71)
Symmetry-distinct sites (fractional):
Ce 0.000 0.247 0.176
Hg 0.000 0.500 0.500
Sb 0.000 0.000 0.500

***

(3)
Entry from Alexandria via LeMat-Bulk: CeHg2Sb after structural relaxation (PBE).

Computed properties:
**E_form (uncorrected)**: -0.497 eV per atom
**D(E_F)**: 1.654 states/eV/atom
**VASP energy**: -3.1623 eV/atom

Unit cell a=4.521 b=4.521 c=5.164 alpha=90.00 beta=90.00 gamma=90.00
Space group P4/mmm (No. 123)
Symmetry-distinct sites (fractional):
Ce 0.000 0.000 0.000
Hg 0.000 0.500 0.500
Sb 0.500 0.500 0.000

***

(4)
Entry from Alexandria via LeMat-Bulk: Ce2Hg2Sb after structural relaxation (PBE).

Computed properties:
**E_form (uncorrected)**: -0.449 eV per atom
**D(E_F)**: 3.192 states/eV/atom
**VASP energy**: -3.7681 eV/atom

Unit cell a=4.7481 b=4.7481 c=8.0942 alpha=90.00 beta=90.00 gamma=120.00
Space group P-3m1 (No. 164)
Symmetry-distinct sites (fractional):
Ce 0.3333 0.6667 0.1979
Hg 0.3333 0.6667 0.5975
Sb 0.0000 0.0000 0.0000

***

(5)
Entry from Alexandria via LeMat-Bulk: Ce2HgSb after structural relaxation (PBE).

Computed properties:
**E_form (uncorrected)**: -0.498 eV per atom
**D(E_F)**: 3.592 states/eV/atom
**VASP energy**: -4.5710 eV/atom
**Polymorph energy (0 for the lowest one)**: 104.7 meV per atom

Unit cell a=4.2465 b=4.2465 c=24.6635 alpha=90.00 beta=90.00 gamma=120.00
Space group R3m (No. 160, hexagonal axes)
Symmetry-distinct sites (fractional):
Ce 0.0000 0.0000 0.0000
Ce 0.0000 0.0000 0.1763
Hg 0.0000 0.0000 0.4208
Sb 0.0000 0.0000 0.5887

***

(6)
Entry from Alexandria via LeMat-Bulk: Ce4HgSb after structural relaxation (PBE).

Computed properties:
**E_form (uncorrected)**: -0.301 eV per atom
**D(E_F)**: 2.644 states/eV/atom
**VASP energy**: -4.9943 eV/atom
**Polymorph energy (0 for the lowest one)**: 0.0 meV per atom

Unit cell a=17.573 b=5.547 c=6.990 alpha=90.00 beta=94.12 gamma=90.00
Space group C2/c (No. 15)
Symmetry-distinct sites (fractional):
Ce 0.078 0.112 0.412
Ce 0.147 0.283 0.089
Hg 0.250 0.250 0.500
Sb 0.000 0.388 0.750

***

> Which of these has the highest E_form (uncorrected)?

number 2